[1]
Cs2GaSBr6 PBE relaxed; M_tot = 0.000 μB per formula unit; formation energy (no corrections) = -0.871 eV per atom; crystal system = tetragonal; VASP energy = -2.7607 eV per atom; space-group type = I4/mmm
1.0
-3.768 3.768 6.059
3.768 -3.768 6.059
3.768 3.768 -6.059
Cs Ga S Br
2 1 1 6
direct
0.250 0.750 0.500
0.750 0.250 0.500
0.000 0.000 0.000
0.500 0.500 0.000
0.212 0.212 0.000
0.257 0.257 0.514
0.257 0.743 0.000
0.743 0.257 0.000
0.743 0.743 0.486
0.788 0.788 0.000

[2]
Cs2GaSbBr6 PBE relaxed; M_tot = 0.000 μB per formula unit; formation energy (no corrections) = -1.131 eV per atom; crystal system = cubic; VASP energy = -3.0205 eV per atom; space-group type = Fm-3m
1.0
0.000 5.786 5.786
5.786 0.000 5.786
5.786 5.786 0.000
Cs Ga Sb Br
2 1 1 6
direct
0.250 0.250 0.250
0.750 0.750 0.750
0.000 0.000 0.000
0.500 0.500 0.500
0.255 0.255 0.745
0.255 0.745 0.255
0.255 0.745 0.745
0.745 0.255 0.255
0.745 0.255 0.745
0.745 0.745 0.255

[3]
Cs2ScGaBr6 PBE relaxed; M_tot = 0.000 μB per formula unit; formation energy (no corrections) = -1.554 eV per atom; crystal system = cubic; VASP energy = -3.6647 eV per atom; space-group type = Fm-3m
1.0
0.000 5.714 5.714
5.714 0.000 5.714
5.714 5.714 0.000
Cs Sc Ga Br
2 1 1 6
direct
0.250 0.250 0.250
0.750 0.750 0.750
0.000 0.000 0.000
0.500 0.500 0.500
0.234 0.234 0.766
0.234 0.766 0.234
0.234 0.766 0.766
0.766 0.234 0.234
0.766 0.234 0.766
0.766 0.766 0.234

[4]
CsGaSeBr2 PBE relaxed; M_tot = 0.173 μB per formula unit; formation energy (no corrections) = -0.858 eV per atom; crystal system = tetragonal; VASP energy = -2.9999 eV per atom; space-group type = P4/mmm
1.0
5.608 0.000 0.000
0.000 5.608 0.000
0.000 0.000 5.009
Cs Ga Se Br
1 1 1 2
direct
0.000 0.000 0.000
0.500 0.500 0.500
0.500 0.500 0.000
0.000 0.500 0.500
0.500 0.000 0.500

[5]
Cs2GaSeBr6 PBE relaxed; M_tot = 0.004 μB per formula unit; formation energy (no corrections) = -0.945 eV per atom; crystal system = tetragonal; VASP energy = -2.7705 eV per atom; space-group type = I4/mmm
1.0
-4.010 4.010 5.529
4.010 -4.010 5.529
4.010 4.010 -5.529
Cs Ga Se Br
2 1 1 6
direct
0.250 0.750 0.500
0.750 0.250 0.500
0.000 0.000 0.000
0.500 0.500 0.000
0.225 0.225 0.449
0.225 0.775 0.000
0.266 0.266 0.000
0.734 0.734 0.000
0.775 0.225 0.000
0.775 0.775 0.551

[6]
CsGaSe2Br PBE relaxed; M_tot = 0.473 μB per formula unit; formation energy (no corrections) = -0.600 eV per atom; crystal system = tetragonal; VASP energy = -3.1048 eV per atom; space-group type = P4/mmm
1.0
5.071 0.000 0.000
0.000 5.071 0.000
0.000 0.000 6.005
Cs Ga Se Br
1 1 2 1
direct
0.000 0.000 0.000
0.500 0.500 0.500
0.000 0.500 0.500
0.500 0.000 0.500
0.500 0.500 0.000

[7]
CsGaSe2Br PBE relaxed; M_tot = 0.581 μB per formula unit; formation energy (no corrections) = 0.449 eV per atom; crystal system = tetragonal; VASP energy = -2.0554 eV per atom; space-group type = P4/mmm
1.0
5.827 0.000 0.000
0.000 5.827 0.000
0.000 0.000 6.690
Cs Ga Se Br
1 1 2 1
direct
0.000 0.000 0.000
0.500 0.500 0.500
0.000 0.500 0.000
0.500 0.000 0.000
0.000 0.000 0.500

[8]
CsGa2SiBr PBE relaxed; M_tot = 2.194 μB per formula unit; formation energy (no corrections) = 1.062 eV per atom; crystal system = tetragonal; VASP energy = -1.7389 eV per atom; space-group type = P4/mmm
1.0
6.691 0.000 0.000
0.000 6.691 0.000
0.000 0.000 6.254
Cs Ga Si Br
1 2 1 1
direct
0.000 0.000 0.000
0.000 0.500 0.000
0.500 0.000 0.000
0.500 0.500 0.500
0.000 0.000 0.500

[9]
Cs2GaSiBr6 PBE relaxed; M_tot = 0.000 μB per formula unit; formation energy (no corrections) = -1.051 eV per atom; crystal system = tetragonal; VASP energy = -3.0705 eV per atom; space-group type = I4/mmm
1.0
-3.925 3.925 5.523
3.925 -3.925 5.523
3.925 3.925 -5.523
Cs Ga Si Br
2 1 1 6
direct
0.250 0.750 0.500
0.750 0.250 0.500
0.000 0.000 0.000
0.500 0.500 0.000
0.264 0.264 0.000
0.264 0.264 0.528
0.264 0.736 0.000
0.736 0.264 0.000
0.736 0.736 0.000
0.736 0.736 0.472

[10]
Cs4GaSn3Br12 PBE relaxed; M_tot = 0.000 μB per formula unit; formation energy (no corrections) = -1.195 eV per atom; crystal system = cubic; VASP energy = -3.1212 eV per atom; space-group type = Im-3m
1.0
-5.792 5.792 5.792
5.792 -5.792 5.792
5.792 5.792 -5.792
Cs Ga Sn Br
4 1 3 12
direct
0.000 0.000 0.500
0.000 0.500 0.000
0.500 0.000 0.000
0.500 0.500 0.500
0.000 0.000 0.000
0.000 0.500 0.500
0.500 0.000 0.500
0.500 0.500 0.000
0.000 0.246 0.246
0.000 0.754 0.754
0.246 0.000 0.246
0.246 0.246 0.000
0.250 0.500 0.750
0.250 0.750 0.500
0.500 0.250 0.750
0.500 0.750 0.250
0.750 0.250 0.500
0.750 0.500 0.250
0.754 0.000 0.754
0.754 0.754 0.000

[11]
CsGaSnBr4 PBE relaxed; M_tot = 0.000 μB per formula unit; formation energy (no corrections) = -1.000 eV per atom; crystal system = monoclinic; VASP energy = -3.0826 eV per atom; space-group type = P2_1/m
1.0
7.081 0.000 0.000
0.000 7.744 0.000
-2.963 0.000 10.123
Cs Ga Sn Br
2 2 2 8
direct
0.208 0.250 0.459
0.792 0.750 0.541
0.427 0.750 0.998
0.573 0.250 0.002
0.024 0.750 0.154
0.976 0.250 0.846
0.215 0.004 0.784
0.215 0.496 0.784
0.249 0.750 0.423
0.281 0.250 0.122
0.719 0.750 0.878
0.751 0.250 0.577
0.785 0.504 0.216
0.785 0.996 0.216

[12]
Cs2GaSnBr6 PBE relaxed; M_tot = 0.000 μB per formula unit; formation energy (no corrections) = -1.173 eV per atom; crystal system = tetragonal; VASP energy = -3.0502 eV per atom; space-group type = I4/mmm
1.0
-4.030 4.030 5.678
4.030 -4.030 5.678
4.030 4.030 -5.678
Cs Ga Sn Br
2 1 1 6
direct
0.250 0.750 0.500
0.750 0.250 0.500
0.000 0.000 0.000
0.500 0.500 0.000
0.244 0.244 0.000
0.244 0.244 0.489
0.244 0.756 0.000
0.756 0.244 0.000
0.756 0.756 0.000
0.756 0.756 0.511